# 1
Compound: Ce2NdCuSe5
Source: the Alexandria database
Functional: PBE-GGA
Structure: relaxed

The symmetry is Cmc2_1. The value obtained for the energy relative to the elements, uncorrected is -1560 meV per atom.

```
18
Lattice="2.0343 -8.7914 0.0000 2.0343 8.7914 0.0000 0.0000 0.0000 12.4979" Properties=species:S:1:pos:R:3 pbc="T T T"
Ce 2.0343 6.8337 6.2490
Ce 2.0343 6.7499 10.5538
Ce 2.0343 -6.7499 4.3048
Ce 2.0343 -6.8337 0.0000
Nd 2.0343 5.6762 2.2257
Nd 2.0343 -5.6762 8.4746
Cu 2.0343 0.9005 7.1524
Cu 2.0343 -0.9005 0.9034
Se 2.0343 8.5787 2.0739
Se 2.0343 3.4735 10.5947
Se 2.0343 3.2360 6.3215
Se 2.0343 2.7163 2.1378
Se 2.0343 0.1070 11.2229
Se 2.0343 -0.1070 4.9740
Se 2.0343 -2.7163 8.3867
Se 2.0343 -3.2360 0.0726
Se 2.0343 -3.4735 4.3458
Se 2.0343 -8.5787 8.3228
```



# 2
Compound: CeNdCuSe4
Source: the Alexandria database
Functional: PBE-GGA
Structure: relaxed

The symmetry is P2_1/m. The value obtained for the energy relative to the elements, uncorrected is -1365 meV per atom.

```
14
Lattice="7.0333 0.0000 0.0000 0.0000 6.0560 0.0000 -2.4110 0.0000 7.9180" Properties=species:S:1:pos:R:3 pbc="T T T"
Ce 0.6457 1.5140 3.4610
Ce 3.9767 4.5420 4.4569
Nd -0.5554 1.5140 7.3987
Nd 5.1777 4.5420 0.5193
Cu 0.0790 4.5420 5.4152
Cu 4.5433 1.5140 2.5028
Se -1.6516 4.5420 7.0685
Se -0.4245 4.5420 3.0916
Se 2.8130 3.0912 1.9563
Se 2.8130 5.9927 1.9563
Se 1.8093 0.0632 5.9617
Se 1.8093 2.9648 5.9617
Se 5.0469 1.5140 4.8264
Se 6.2740 1.5140 0.8495
```



# 3
Compound: CeNd2CuSe5
Source: the Alexandria database
Functional: PBE-GGA
Structure: relaxed

The symmetry is Cmc2_1. The value obtained for the energy relative to the elements, uncorrected is -1568 meV per atom.

```
18
Lattice="2.0381 -8.7478 0.0000 2.0381 8.7478 0.0000 0.0000 0.0000 12.5690" Properties=species:S:1:pos:R:3 pbc="T T T"
Ce 2.0381 5.6474 6.2845
Ce 2.0381 -5.6474 0.0000
Nd 2.0381 6.7759 10.3300
Nd 2.0381 6.7253 2.0842
Nd 2.0381 -6.7253 8.3687
Nd 2.0381 -6.7759 4.0455
Cu 2.0381 0.8843 11.2394
Cu 2.0381 -0.8843 4.9549
Se 2.0381 8.5036 6.1369
Se 2.0381 3.4816 2.1053
Se 2.0381 3.2274 10.4345
Se 2.0381 2.7178 6.1946
Se 2.0381 0.1208 2.7679
Se 2.0381 -0.1208 9.0524
Se 2.0381 -2.7178 12.4791
Se 2.0381 -3.2274 4.1500
Se 2.0381 -3.4816 8.3897
Se 2.0381 -8.5036 12.4214
```



# 4
Compound: Ce2NdCu2Si2
Source: the Alexandria database
Functional: PBE-GGA
Structure: relaxed

The symmetry is R-3m. The value obtained for the energy relative to the elements, uncorrected is -501 meV per atom.

```
7
Lattice="2.0923 1.2080 9.2572 -2.0923 1.2080 9.2572 0.0000 -2.4160 9.2572" Properties=species:S:1:pos:R:3 pbc="T T T"
Ce 0.0000 0.0000 3.8983
Ce 0.0000 0.0000 23.8734
Nd 0.0000 0.0000 0.0000
Cu 0.0000 0.0000 11.3019
Cu 0.0000 0.0000 16.4698
Si 0.0000 0.0000 7.2303
Si 0.0000 0.0000 20.5414
```



# 5
Compound: CeNdCuSi
Source: the Alexandria database
Functional: PBE-GGA
Structure: relaxed

The symmetry is F-43m. The value obtained for the energy relative to the elements, uncorrected is -300 meV per atom.

```
4
Lattice="0.0000 3.5912 3.5912 3.5912 0.0000 3.5912 3.5912 3.5912 0.0000" Properties=species:S:1:pos:R:3 pbc="T T T"
Ce 0.0000 0.0000 0.0000
Nd 3.5912 3.5912 3.5912
Cu 1.7956 1.7956 1.7956
Si 5.3868 5.3868 5.3868
```



# 6
Compound: CeNdCuTc
Source: the Alexandria database
Functional: PBE-GGA
Structure: relaxed

The symmetry is F-43m. The formation energy comes out at 0.0148 eV/atom.

```
4
Lattice="0.0000 3.5168 3.5168 3.5168 0.0000 3.5168 3.5168 3.5168 0.0000" Properties=species:S:1:pos:R:3 pbc="T T T"
Ce 0.0000 0.0000 0.0000
Nd 3.5168 3.5168 3.5168
Cu 5.2752 5.2752 5.2752
Tc 1.7584 1.7584 1.7584
```



What is the formula in the sixth record?
CeNdCuTc